(1)
Computed, not measured: ErTi2Co2 after structural relaxation at the PBE level of DFT.

Structure (POSCAR):
```
ErTi2Co2
1.0
4.1199 0.0000 0.0000
0.0000 4.1199 0.0000
-2.0600 -2.0600 4.9414
Ti Er Co
2 1 2
Direct
0.7500 0.2500 0.5000
0.2500 0.7500 0.5000
0.0000 0.0000 0.0000
0.6150 0.6150 0.2300
0.3850 0.3850 0.7700
```

Output
Crystal system: tetragonal
Electronic total energy in eV/atom: -7.234
SG: No. 139

***

(2)
Computed, not measured: Er3TiCo8 after structural relaxation at the PBE level of DFT.

Structure (POSCAR):
```
Er3TiCo8
1.0
4.7457 0.0000 1.4326
2.1566 4.2274 1.4326
-0.0051 -0.0031 8.5936
Co Er Ti
8 3 1
Direct
0.9382 0.9382 0.6793
0.4442 0.9382 0.6793
0.1882 0.1882 0.4355
0.6877 0.6877 0.9368
0.4367 0.9317 0.1948
0.9382 0.4442 0.6793
0.9317 0.4367 0.1948
0.4367 0.4367 0.1948
0.5019 0.5019 0.4943
0.3753 0.3753 0.8742
0.9971 0.9971 0.0088
0.8740 0.8740 0.3781
```

Output
Crystal system: trigonal
Electronic total energy in eV/atom: -6.765
SG: No. 160

***

(3)
Computed, not measured: Er2TiCo2 after structural relaxation at the PBE level of DFT.

Structure (POSCAR):
```
Er2TiCo2
1.0
-1.0000 0.4415 3.6365
4.2717 2.0645 2.9066
0.1726 5.3888 1.3757
Co Er Ti
2 2 1
Direct
0.0000 0.2227 0.2773
0.0000 0.7773 0.7227
0.2984 0.2016 0.7016
0.7016 0.7984 0.2984
0.5000 0.5000 0.0000
```

Output
Crystal system: orthorhombic
Electronic total energy in eV/atom: -6.520
Excess energy over the best structure of this formula in the dataset in eV/atom: 0.010
SG: No. 71

***

(4)
Computed, not measured: ErTiZnCo after structural relaxation at the PBE level of DFT.

Structure (POSCAR):
```
ErTiZnCo
1.0
4.6011 0.0000 0.0000
2.3005 3.9846 0.0000
2.3005 1.3282 3.7568
Ti Er Zn Co
1 1 1 1
Direct
0.2500 0.2500 0.2500
0.7500 0.7500 0.7500
0.0000 0.0000 0.0000
0.5000 0.5000 0.5000
```

Output
Crystal system: cubic
Electronic total energy in eV/atom: -5.332
SG: No. 216

***

(5)
Computed, not measured: Er2TlCo after structural relaxation at the PBE level of DFT.

Structure (POSCAR):
```
Er2TlCo
1.0
3.7230 0.0000 0.0000
1.8615 3.2242 0.0000
1.8615 1.0747 9.4594
Er Co Tl
2 1 1
Direct
0.8852 0.8852 0.3444
0.1148 0.1148 0.6556
0.5000 0.5000 0.5000
0.0000 0.0000 0.0000
```

Output
Crystal system: trigonal
Electronic total energy in eV/atom: -4.700
SG: No. 166

***

(6)
Computed, not measured: Er8Tl2Co after structural relaxation at the PBE level of DFT.

Structure (POSCAR):
```
Er8Tl2Co
1.0
-0.6963 -4.9459 1.8458
6.6620 -1.0205 -0.2214
-2.2139 5.7704 6.9465
Tl Er Co
2 8 1
Direct
0.8204 0.2859 0.6408
0.1796 0.7141 0.3592
0.6393 0.9421 0.2787
0.9848 0.2167 0.9695
0.2008 0.2808 0.4016
0.7992 0.7192 0.5984
0.3607 0.0579 0.7213
0.4105 0.5864 0.8210
0.0152 0.7833 0.0305
0.5895 0.4136 0.1790
0.5000 0.0000 0.0000
```

Output
Crystal system: monoclinic
Electronic total energy in eV/atom: -4.540
SG: No. 12

***

(7)
Computed, not measured: Er12TlCo6 after structural relaxation at the PBE level of DFT.

Structure (POSCAR):
```
Er12TlCo6
1.0
-3.5623 4.2979 -6.1170
-4.1427 -7.0729 1.1801
-0.1415 4.4771 6.9653
Er Co Tl
12 6 1
Direct
0.5038 0.8061 0.6976
0.3024 0.4962 0.1939
0.1085 0.8061 0.3024
0.1939 0.6976 0.8915
0.3024 0.1085 0.8061
0.8061 0.3024 0.1085
0.4962 0.1939 0.3024
0.1939 0.3024 0.4962
0.6976 0.8915 0.1939
0.8061 0.6976 0.5038
0.8915 0.1939 0.6976
0.6976 0.5038 0.8061
0.1138 0.6138 0.5000
0.5000 0.8862 0.3862
0.8862 0.3862 0.5000
0.6138 0.5000 0.1138
0.3862 0.5000 0.8862
0.5000 0.1138 0.6138
0.0000 0.0000 0.0000
```

Output
Crystal system: cubic
Electronic total energy in eV/atom: -5.512
SG: No. 204

***

(8)
Computed, not measured: Er12TlCo5 after structural relaxation at the PBE level of DFT.

Structure (POSCAR):
```
Er12TlCo5
1.0
-7.2507 -3.5489 -1.4110
5.9718 -5.6008 0.3563
-0.0329 3.8987 7.2082
Er Co Tl
12 5 1
Direct
0.4744 0.1850 0.2894
0.8956 0.1850 0.7106
0.8072 0.5958 0.7886
0.3050 0.3143 0.6192
0.1044 0.8150 0.2894
0.6950 0.3143 0.0093
0.1928 0.9815 0.7886
0.1928 0.4042 0.2114
0.8072 0.0185 0.2114
0.3050 0.6857 0.9907
0.5256 0.8150 0.7106
0.6950 0.6857 0.3808
0.0000 0.0000 0.0000
0.6228 0.6228 0.0000
0.5000 0.8871 0.3871
0.3772 0.3772 0.0000
0.5000 0.1129 0.6129
0.0000 0.5000 0.5000
```

Output
Crystal system: orthorhombic
Electronic total energy in eV/atom: -5.402
SG: No. 71

***

(9)
Computed, not measured: Er6TlCo2 after structural relaxation at the PBE level of DFT.

Structure (POSCAR):
```
Er6TlCo2
1.0
-1.4945 -1.0233 8.1160
8.1419 0.7078 -1.5358
-3.5911 7.0006 -2.6919
Er Co Tl
12 4 2
Direct
0.4763 0.2890 0.1873
0.7867 0.2309 0.0176
0.2133 0.7691 0.9824
0.6968 0.3812 0.6845
0.5237 0.7110 0.8127
0.6968 0.0123 0.3155
0.8983 0.7110 0.1873
0.3032 0.9877 0.6845
0.3032 0.6188 0.3155
0.1017 0.2890 0.8127
0.7867 0.7691 0.5558
0.2133 0.2309 0.4442
0.6207 0.0000 0.6207
0.5000 0.3873 0.8873
0.5000 0.6127 0.1127
0.3793 0.0000 0.3793
0.0000 0.5000 0.5000
0.0000 0.0000 0.0000
```

Output
Crystal system: orthorhombic
Electronic total energy in eV/atom: -5.146
SG: No. 71

***

(10)
Computed, not measured: Er3TlCo2 after structural relaxation at the PBE level of DFT.

Structure (POSCAR):
```
Er3TlCo2
1.0
-3.2988 -0.9633 1.6524
3.5102 -1.2801 6.2613
-1.3982 9.4449 2.7148
Co Er Tl
4 6 2
Direct
0.0000 0.9852 0.2972
0.5000 0.5387 0.5765
0.5000 0.0387 0.4235
0.0000 0.4852 0.7028
0.5000 0.1972 0.1702
0.0000 0.3260 0.4500
0.5000 0.7131 0.2471
0.5000 0.2131 0.7529
0.0000 0.8260 0.5500
0.5000 0.6972 0.8298
0.0000 0.9411 0.0060
0.0000 0.4411 0.9940
```

Output
Crystal system: orthorhombic
Electronic total energy in eV/atom: -5.266
SG: No. 26

***

(11)
Computed, not measured: Er4TlCo2 after structural relaxation at the PBE level of DFT.

Structure (POSCAR):
```
Er4TlCo2
1.0
-3.2295 3.8207 -5.0703
-6.1288 -0.1188 3.1120
6.9712 5.1751 1.9083
Er Co Tl
8 4 2
Direct
0.4117 0.0996 0.7497
0.7967 0.4522 0.1289
0.9908 0.0434 0.2670
0.8090 0.7413 0.7953
0.3098 0.6659 0.8535
0.5089 0.2634 0.3961
0.8786 0.1086 0.6459
0.3863 0.6732 0.2402
0.6297 0.4195 0.7862
0.0341 0.5600 0.9762
0.6532 0.8088 0.0992
0.5532 0.1075 0.0530
0.1610 0.1805 0.0258
0.1270 0.6258 0.4829
```

Output
Crystal system: triclinic
Electronic total energy in eV/atom: -5.124
SG: No. 1

***

(12)
Computed, not measured: Er7TlCo2 after structural relaxation at the PBE level of DFT.

Structure (POSCAR):
```
Er7TlCo2
1.0
-3.6236 3.2758 0.5544
-5.3233 -5.5422 -2.0451
1.4028 0.2276 7.8241
Er Co Tl
7 2 1
Direct
0.5000 0.3171 0.0515
0.5000 0.5000 0.5000
0.5000 0.9485 0.6829
0.0000 0.7047 0.2953
0.5000 0.6829 0.9485
0.5000 0.0515 0.3171
0.0000 0.2953 0.7047
0.5000 0.7024 0.2976
0.5000 0.2976 0.7024
0.0000 0.0000 0.0000
```

Output
Crystal system: orthorhombic
Electronic total energy in eV/atom: -4.895
SG: No. 65

***

(13)
Computed, not measured: Er2TlCo after structural relaxation at the PBE level of DFT.

Structure (POSCAR):
```
Er2TlCo
1.0
-2.8937 2.1494 -0.5702
-2.8811 -4.0437 -0.6219
-0.9981 -0.0430 4.9031
Er Tl Co
2 1 1
Direct
0.0000 0.0000 0.5000
0.0000 0.5000 0.0000
0.5000 0.0000 0.0000
0.5000 0.5000 0.5000
```

Output
Crystal system: tetragonal
Electronic total energy in eV/atom: -4.774
SG: No. 123

***

(14)
Computed, not measured: Er5Tl2Co2 after structural relaxation at the PBE level of DFT.

Structure (POSCAR):
```
Er5Tl2Co2
1.0
7.2376 0.0000 0.0000
0.0000 7.2791 0.0000
0.0000 -3.6396 8.3066
Co Er Tl
4 10 4
Direct
0.1121 0.6136 0.0000
0.8879 0.3864 0.0000
0.3879 0.1136 0.0000
0.6121 0.8864 0.0000
0.3245 0.7053 0.7710
0.8245 0.7947 0.2290
0.3245 0.9343 0.2290
0.1755 0.2053 0.7710
0.1755 0.4343 0.2290
0.6755 0.2947 0.2290
0.5000 0.5000 0.0000
0.8245 0.5657 0.7710
0.0000 0.0000 0.0000
0.6755 0.0657 0.7710
0.5000 0.2729 0.5458
0.0000 0.2271 0.4542
0.5000 0.7271 0.4542
0.0000 0.7729 0.5458
```

Output
Crystal system: orthorhombic
Electronic total energy in eV/atom: -4.910
SG: No. 64

***

(15)
Computed, not measured: Er6Tl2Co after structural relaxation at the PBE level of DFT.

Structure (POSCAR):
```
Er6Tl2Co
1.0
5.0406 0.0000 -0.1922
0.0000 7.1530 0.0000
-2.2410 -3.5765 7.3641
Tl Er Co
2 6 1
Direct
0.6668 0.6668 0.3337
0.3332 0.3332 0.6663
0.5000 0.2200 0.0000
0.8488 0.0856 0.6975
0.1512 0.9144 0.3025
0.8488 0.6119 0.6975
0.1512 0.3881 0.3025
0.5000 0.7800 0.0000
0.0000 0.0000 0.0000
```

Output
Crystal system: orthorhombic
Electronic total energy in eV/atom: -4.415
SG: No. 71

***

(16)
Computed, not measured: Er11Tl9Co4 after structural relaxation at the PBE level of DFT.

Structure (POSCAR):
```
Er11Tl9Co4
1.0
3.6384 0.0000 0.0000
0.0000 11.9606 -5.0401
0.0000 0.0657 12.9790
Tl Er Co
9 11 4
Direct
0.5000 0.3703 0.8464
0.5000 0.8464 0.3703
0.5000 0.9259 0.7804
0.5000 0.1536 0.6297
0.5000 0.6297 0.1536
0.5000 0.0741 0.2196
0.5000 0.7804 0.9259
0.5000 0.2196 0.0741
0.5000 0.5000 0.5000
0.0000 0.3751 0.6249
0.0000 0.9122 0.5810
0.0000 0.5810 0.9122
0.0000 0.1625 0.8375
0.0000 0.3140 0.3140
0.0000 0.6249 0.3751
0.0000 0.6860 0.6860
0.0000 0.4190 0.0878
0.0000 0.0878 0.4190
0.0000 0.0000 0.0000
0.0000 0.8375 0.1625
0.5000 0.4504 0.2500
0.5000 0.7500 0.5496
0.5000 0.5496 0.7500
0.5000 0.2500 0.4504
```

Output
Crystal system: orthorhombic
Electronic total energy in eV/atom: -4.479
SG: No. 65

***

(17)
Computed, not measured: Er5TlCo2 after structural relaxation at the PBE level of DFT.

Structure (POSCAR):
```
Er5TlCo2
1.0
7.5311 0.0000 0.0000
0.0000 7.5311 0.0000
-3.7655 -3.7655 6.7464
Co Er Tl
4 10 2
Direct
0.8659 0.6341 0.0000
0.3659 0.8659 0.0000
0.6341 0.1341 0.0000
0.1341 0.3659 0.0000
0.9687 0.4687 0.2594
0.2093 0.0313 0.7406
0.2907 0.7907 0.2594
0.5313 0.7093 0.7406
0.0313 0.5313 0.7406
0.7907 0.9687 0.2594
0.0000 0.0000 0.0000
0.7093 0.2093 0.7406
0.5000 0.5000 0.0000
0.4687 0.2907 0.2594
0.2500 0.2500 0.5000
0.7500 0.7500 0.5000
```

Output
Crystal system: tetragonal
Electronic total energy in eV/atom: -5.182
SG: No. 140

***

(18)
Computed, not measured: Er5TlCo after structural relaxation at the PBE level of DFT.

Structure (POSCAR):
```
Er5TlCo
1.0
6.4215 0.4773 -0.0007
2.4899 5.9384 -0.0007
3.2568 2.3447 10.3880
Er Co Tl
10 2 2
Direct
0.1994 0.5579 0.5437
0.5579 0.1994 0.0437
0.4421 0.8006 0.9563
0.9846 0.0154 0.2500
0.8006 0.4421 0.4563
0.0339 0.3975 0.8642
0.9661 0.6025 0.1358
0.6025 0.9661 0.6358
0.3975 0.0339 0.3642
0.0154 0.9846 0.7500
0.0000 0.0000 0.5000
0.0000 0.0000 0.0000
0.4742 0.5258 0.2500
0.5258 0.4742 0.7500
```

Output
Crystal system: monoclinic
Electronic total energy in eV/atom: -4.678
SG: No. 15

***

(19)
Computed, not measured: Er4TmCo2 after structural relaxation at the PBE level of DFT.

Structure (POSCAR):
```
Er4TmCo2
1.0
6.2389 0.0000 0.0000
0.0000 7.1092 -2.9157
0.0000 -0.0730 7.5656
Co Er Tm
4 8 2
Direct
0.2500 0.2655 0.9856
0.7500 0.3735 0.4092
0.7500 0.7345 0.0144
0.2500 0.6265 0.5908
0.4982 0.5866 0.2399
0.2500 0.2496 0.3260
0.2500 0.9797 0.6240
0.7500 0.0203 0.3760
0.5018 0.4134 0.7601
0.0018 0.5866 0.2399
0.9982 0.4134 0.7601
0.7500 0.7504 0.6740
0.7500 0.1650 0.0270
0.2500 0.8350 0.9730
```

Output
Crystal system: monoclinic
Electronic total energy in eV/atom: -5.360
SG: No. 11

***

(20)
Computed, not measured: ErTm4Co4 after structural relaxation at the PBE level of DFT.

Structure (POSCAR):
```
ErTm4Co4
1.0
5.4874 0.0000 0.0000
0.0000 8.3092 0.0000
0.0000 0.0000 8.3092
Tm Co Er
8 8 2
Direct
0.8811 0.4231 0.1869
0.6189 0.9231 0.6869
0.3811 0.6869 0.0769
0.3811 0.3131 0.9231
0.1189 0.8131 0.4231
0.1189 0.1869 0.5769
0.8811 0.5769 0.8131
0.6189 0.0769 0.3131
0.1335 0.8623 0.7374
0.8665 0.7374 0.1377
0.6335 0.7626 0.3623
0.1335 0.1377 0.2626
0.3665 0.3623 0.2374
0.3665 0.6377 0.7626
0.8665 0.2626 0.8623
0.6335 0.2374 0.6377
0.5000 0.5000 0.5000
0.0000 0.0000 0.0000
```

Output
Crystal system: tetragonal
Electronic total energy in eV/atom: -5.749
SG: No. 86

***

Number 1: ΔE_f -321 meV/atom. Number 2: ΔE_f -229 meV/atom. Number 3: ΔE_f -274 meV/atom. Number 4: ΔE_f -122 meV/atom. Number 5: ΔE_f -51 meV/atom. Number 6: ΔE_f -146 meV/atom. Number 7: ΔE_f -261 meV/atom. Number 8: ΔE_f -255 meV/atom. Number 9: ΔE_f -262 meV/atom. Number 10: ΔE_f -222 meV/atom. Number 11: ΔE_f -148 meV/atom. Number 12: ΔE_f -43 meV/atom. Number 13: ΔE_f -124 meV/atom. Number 14: ΔE_f -270 meV/atom. Number 15: ΔE_f -58 meV/atom. Number 16: ΔE_f -316 meV/atom. Number 17: ΔE_f -258 meV/atom. Number 18: ΔE_f -65 meV/atom. Number 19: ΔE_f -84 meV/atom. Number 20: ΔE_f -97 meV/atom.